1.
The following is a DFT calculation (PBE) of a relaxed La2Nd6SmTm3 crystal.

a = 6.3218 Å, b = 6.3218 Å, c = 12.0050 Å
α = 95.03°, β = 95.03°, γ = 120.03°
Closest atoms and distances in Å follow each position.
Element x y z (fractional)
1 La 0.1666 0.8334 0.0000  3 Sm 3.65, 3 La 3.65, 6 Nd 3.69-3.70
2 La 0.8334 0.1666 0.0000  3 Sm 3.65, 3 La 3.65, 6 Nd 3.69-3.70
3 Nd 0.0816 0.4142 0.7433  3 Tm 3.56-3.57, 6 Nd 3.64-3.65, 1 Sm 3.69, 2 La 3.69-3.70
4 Nd 0.2530 0.2530 0.2566  3 Tm 3.56-3.57, 6 Nd 3.64-3.65, 1 Sm 3.69, 2 La 3.69
5 Nd 0.4142 0.0816 0.7433  3 Tm 3.56-3.57, 6 Nd 3.64-3.65, 1 Sm 3.69, 2 La 3.69-3.70
6 Nd 0.5858 0.9184 0.2567  3 Tm 3.56-3.57, 6 Nd 3.64-3.65, 1 Sm 3.69, 2 La 3.69-3.70
7 Nd 0.7470 0.7470 0.7434  3 Tm 3.56-3.57, 6 Nd 3.64-3.65, 1 Sm 3.69, 2 La 3.69
8 Nd 0.9184 0.5858 0.2567  3 Tm 3.56-3.57, 6 Nd 3.64-3.65, 1 Sm 3.69, 2 La 3.69-3.70
9 Sm 0.5000 0.5000 0.0000  6 La 3.65, 6 Nd 3.69
10 Tm 0.0000 0.0000 0.5000  6 Nd 3.56-3.57, 6 Tm 3.65
11 Tm 0.3336 0.6664 0.5000  6 Nd 3.56-3.57, 6 Tm 3.65
12 Tm 0.6664 0.3336 0.5000  6 Nd 3.56-3.57, 6 Tm 3.65

- Formation enthalpy at 0 K: 25 kJ/mol of formula units
- Symmetry: C2/m
- DFT total energy: -4.6946 eV per atom

2.
The following is a DFT calculation (PBE) of a relaxed Ca2PmIr crystal.

a = 6.6418 Å, b = 6.6418 Å, c = 9.4517 Å
α = 90.00°, β = 90.00°, γ = 144.70°
Closest atoms and distances in Å follow each position.
Element x y z (fractional)
1 Ca 0.1509 0.8491 0.5669  3 Ir 3.05-3.16
2 Ca 0.1509 0.8491 0.9331  3 Ir 3.05-3.16
3 Ca 0.8491 0.1509 0.0669  3 Ir 3.05-3.16
4 Ca 0.8491 0.1509 0.4331  3 Ir 3.05-3.16
5 Pm 0.4197 0.5803 0.7500  2 Ir 2.77
6 Pm 0.5803 0.4197 0.2500  2 Ir 2.77
7 Ir 0.2309 0.7691 0.2500  2 Pm 2.77, 4 Ca 3.05
8 Ir 0.7691 0.2309 0.7500  2 Pm 2.77, 4 Ca 3.05

- Formation enthalpy at 0 K: -145 kJ/mol of formula units
- Energy above the lowest structure with this stoichiometry: 0.0000 eV/atom
- Symmetry: Cmcm
- DFT total energy: -4.7805 eV per atom

3.
The following is a DFT calculation (PBE) of a relaxed Pa3BiN2O6 crystal.

a = 6.8455 Å, b = 6.8455 Å, c = 4.6042 Å
α = 91.71°, β = 91.71°, γ = 62.29°
Closest atoms and distances in Å follow each position.
Element x y z (fractional)
1 Pa 0.0000 0.0000 0.0000  2 N 2.25, 4 O 2.31
2 Pa 0.0000 0.5000 0.5000  4 O 2.19-2.25, 2 N 2.28
3 Pa 0.5000 0.0000 0.5000  4 O 2.19-2.25, 2 N 2.28
4 Bi 0.5000 0.5000 0.5000  6 O 2.31-2.41
5 N 0.1623 0.1623 0.2751  3 Pa 2.25-2.28
6 N 0.8377 0.8377 0.7249  3 Pa 2.25-2.28
7 O 0.1495 0.6707 0.2433  2 Pa 2.25-2.31, 1 Bi 2.41
8 O 0.3243 0.3243 0.7122  2 Pa 2.19, 1 Bi 2.31
9 O 0.3293 0.8505 0.7567  2 Pa 2.25-2.31, 1 Bi 2.41
10 O 0.6707 0.1495 0.2433  2 Pa 2.25-2.31, 1 Bi 2.41
11 O 0.6757 0.6757 0.2878  2 Pa 2.19, 1 Bi 2.31
12 O 0.8505 0.3293 0.7567  2 Pa 2.25-2.31, 1 Bi 2.41

- E_form (uncorrected): -2427.8 meV/atom
- Symmetry: C2/m
- DFT total energy: -8.9918 eV per atom

4.
The following is a DFT calculation (PBE) of a relaxed BaInSn2Mo crystal.

a = 5.2983 Å, b = 5.2983 Å, c = 5.3513 Å
α = 90.00°, β = 90.00°, γ = 90.00°
Closest atoms and distances in Å follow each position.
Element x y z (fractional)
1 Ba 0.0000 0.0000 0.0000  4 In 3.75, 8 Sn 3.77
2 In 0.5000 0.5000 0.0000  2 Mo 2.68
3 Sn 0.0000 0.5000 0.5000  2 Mo 2.65
4 Sn 0.5000 0.0000 0.5000  2 Mo 2.65
5 Mo 0.5000 0.5000 0.5000  4 Sn 2.65, 2 In 2.68

- Formation enthalpy at 0 K: -72 kJ/mol of formula units
- Symmetry: P4/mmm
- DFT total energy: -4.8479 eV per atom

5.
The following is a DFT calculation (PBE) of a relaxed YCu2As crystal.

a = 4.1160 Å, b = 4.1160 Å, c = 5.4347 Å
α = 112.15°, β = 112.15°, γ = 59.90°
Closest atoms and distances in Å follow each position.
Element x y z (fractional)
1 Y 0.0000 0.0000 0.0000  4 Cu 2.93-3.17, 4 As 2.96-3.12
2 Cu 0.2160 0.2160 0.6475  3 Cu 2.47, 3 As 2.75-2.76
3 Cu 0.5023 0.5023 0.5064  3 Cu 2.47, 3 As 2.48
4 As 0.7871 0.7871 0.3615  6 Cu 2.48-2.76

- Formation enthalpy at 0 K: -186 kJ/mol of formula units
- Symmetry: Cm
- DFT total energy: -5.3094 eV per atom

6.
The following is a DFT calculation (PBE) of a relaxed TiNiTe2 crystal.

a = 6.9383 Å, b = 6.9383 Å, c = 6.9383 Å
α = 31.90°, β = 31.90°, γ = 31.90°
Closest atoms and distances in Å follow each position.
Element x y z (fractional)
1 Ti 0.0000 0.0000 0.0000  6 Te 2.76-2.89, 1 Ni 3.02
2 Ni 0.8472 0.8472 0.8472  6 Te 2.58-2.78
3 Te 0.2489 0.2489 0.2489  3 Ni 2.58, 3 Ti 2.76
4 Te 0.4279 0.4279 0.4279  3 Ni 2.78, 3 Ti 2.89

- E_form (uncorrected): -310.5 meV/atom
- Symmetry: R3m
- DFT total energy: -5.3004 eV per atom

7.
The following is a DFT calculation (PBE) of a relaxed HfTi2CdO crystal.

a = 5.2755 Å, b = 5.2755 Å, c = 3.9471 Å
α = 90.00°, β = 90.00°, γ = 90.00°
Closest atoms and distances in Å follow each position.
Element x y z (fractional)
1 Hf 0.0000 0.0000 0.0000  8 Ti 3.29
2 Ti 0.0000 0.5000 0.5000  2 Cd 2.64
3 Ti 0.5000 0.0000 0.5000  2 Cd 2.64
4 Cd 0.5000 0.5000 0.5000  2 O 1.97
5 O 0.5000 0.5000 0.0000  2 Cd 1.97

- E_form (uncorrected): 1027.6 meV/atom
- Energy above the lowest structure with this stoichiometry: 2.0390 eV/atom
- Symmetry: P4/mmm
- DFT total energy: -5.2957 eV per atom

8.
The following is a DFT calculation (PBE) of a relaxed Nd2TlGe crystal.

a = 3.9444 Å, b = 3.9444 Å, c = 6.9810 Å
α = 90.00°, β = 90.00°, γ = 90.00°
Closest atoms and distances in Å follow each position.
Element x y z (fractional)
1 Nd 0.0000 0.0000 0.2228  1 Nd 3.11, 4 Ge 3.19, 4 Tl 3.39
2 Nd 0.0000 0.0000 0.7772  1 Nd 3.11, 4 Ge 3.19, 4 Tl 3.39
3 Tl 0.5000 0.5000 0.5000  8 Nd 3.39, 2 Ge 3.49
4 Ge 0.5000 0.5000 0.0000  8 Nd 3.19, 2 Tl 3.49

- Formation enthalpy at 0 K: -197 kJ/mol of formula units
- Symmetry: P4/mmm
- DFT total energy: -4.6403 eV per atom

9.
The following is a DFT calculation (PBE) of a relaxed Pr2NdAlSi2 crystal.

a = 8.8301 Å, b = 8.8301 Å, c = 8.8301 Å
α = 148.72°, β = 148.72°, γ = 44.82°
Closest atoms and distances in Å follow each position.
Element x y z (fractional)
1 Pr 0.2500 0.7500 0.5000  4 Si 2.98
2 Pr 0.7500 0.2500 0.5000  4 Si 2.98
3 Nd 0.0000 0.0000 0.0000  4 Al 3.37
4 Al 0.5000 0.5000 0.0000  2 Si 2.30
5 Si 0.3594 0.3594 0.0000  1 Al 2.30
6 Si 0.6406 0.6406 0.0000  1 Al 2.30

- E_form (uncorrected): 90.6 meV/atom
- Symmetry: I4/mmm
- DFT total energy: -4.7286 eV per atom

10.
The following is a DFT calculation (PBE) of a relaxed VNiC3 crystal.

a = 3.8560 Å, b = 3.8560 Å, c = 3.8560 Å
α = 90.00°, β = 90.00°, γ = 90.00°
Closest atoms and distances in Å follow each position.
Element x y z (fractional)
1 V 0.0000 0.0000 0.0000  6 C 1.93
2 Ni 0.5000 0.5000 0.5000  12 C 2.73
3 C 0.0000 0.0000 0.5000  2 V 1.93
4 C 0.0000 0.5000 0.0000  2 V 1.93
5 C 0.5000 0.0000 0.0000  2 V 1.93

- Formation enthalpy at 0 K: 961 kJ/mol of formula units
- Energy above the lowest structure with this stoichiometry: 0.0000 eV/atom
- Symmetry: Pm-3m
- DFT total energy: -6.5232 eV per atom

11.
The following is a DFT calculation (PBE) of a relaxed Pm2Pr3Sm3 crystal.

a = 10.9955 Å, b = 10.9955 Å, c = 10.9955 Å
α = 152.76°, β = 152.73°, γ = 38.93°
Closest atoms and distances in Å follow each position.
Element x y z (fractional)
1 Pm 0.2497 0.2497 0.0000  4 Sm 3.65-3.66, 4 Pr 3.66-3.67, 4 Pm 3.66
2 Pm 0.7503 0.7503 0.0000  4 Sm 3.65-3.66, 4 Pr 3.66-3.67, 4 Pm 3.66
3 Pr 0.0000 0.0000 0.0000  8 Sm 3.66-3.67, 4 Pr 3.67
4 Pr 0.3749 0.8749 0.5000  4 Pm 3.66-3.67, 6 Sm 3.66, 2 Pr 3.67
5 Pr 0.6251 0.1251 0.5000  4 Pm 3.66-3.67, 6 Sm 3.66, 2 Pr 3.67
6 Sm 0.1256 0.6256 0.5000  4 Pm 3.65-3.66, 6 Pr 3.66-3.67, 2 Sm 3.67
7 Sm 0.5000 0.5000 0.0000  8 Pr 3.66, 4 Sm 3.67
8 Sm 0.8744 0.3744 0.5000  4 Pm 3.65-3.66, 6 Pr 3.66-3.67, 2 Sm 3.67

- Formation enthalpy at 0 K: 10 kJ/mol of formula units
- Energy above the lowest structure with this stoichiometry: 0.0000 eV/atom
- Symmetry: Immm
- DFT total energy: -4.7362 eV per atom

12.
The following is a DFT calculation (PBE) of a relaxed Pm2MgCu4Sn3 crystal.

a = 4.3689 Å, b = 4.3689 Å, c = 10.9035 Å
α = 90.00°, β = 90.00°, γ = 90.00°
Closest atoms and distances in Å follow each position.
Element x y z (fractional)
1 Pm 0.0000 0.5000 0.2369  6 Sn 3.29-3.61, 8 Cu 3.38, 2 Mg 3.61
2 Pm 0.5000 0.0000 0.7631  6 Sn 3.29-3.61, 8 Cu 3.38, 2 Mg 3.61
3 Mg 0.0000 0.0000 0.5000  4 Cu 2.65
4 Cu 0.0000 0.0000 0.0000  4 Sn 2.62
5 Cu 0.0000 0.5000 0.6370  3 Sn 2.52-2.65, 2 Mg 2.65
6 Cu 0.5000 0.0000 0.3630  3 Sn 2.52-2.65, 2 Mg 2.65
7 Cu 0.5000 0.5000 0.0000  4 Sn 2.62
8 Sn 0.0000 0.5000 0.8680  5 Cu 2.52-2.62
9 Sn 0.5000 0.0000 0.1320  5 Cu 2.52-2.62
10 Sn 0.5000 0.5000 0.5000  4 Cu 2.65

- Formation enthalpy at 0 K: -391 kJ/mol of formula units
- Symmetry: P-4m2
- DFT total energy: -4.3543 eV per atom

> Among the records above, which one has the highest DFT total energy?

Pm2MgCu4Sn3

> Which of these has the lowest DFT total energy?

Pa3BiN2O6